Record 1
VASP calculation (PBE) on Sr2TiNb after structural relaxation.

Lattice parameters (Å, degrees): 8.800 8.800 6.931 50.60 50.60 90.00
Site moments in Bohr magnetons follow the coordinates.
Atoms (fractional coordinates):
Sr: 0.624 0.125 0.250  0.05
Sr: 0.126 0.625 0.250  0.05
Sr: 0.375 0.376 0.750  0.05
Sr: 0.875 0.874 0.750  0.05
Nb: 0.000 0.000 0.000  1.47
Nb: 0.750 0.250 0.500  1.47
Ti: 0.500 0.500 0.000  -0.10
Ti: 0.250 0.750 0.500  -0.10

Properties
The formation energy is 1.330 eV per atom. The total magnetization is 3.77 μB/cell. The value obtained for the density of states at the Fermi level is 2.117 states/eV/atom.

***

Record 2
VASP calculation (PBE) on TbY2Mg5Sc2 after structural relaxation.

Lattice parameters (Å, degrees): 4.952 10.369 10.369 90.00 90.00 90.00
Atoms (fractional coordinates):
Tb: 0.000 0.000 0.000
Tb: 0.000 0.500 0.500
Y: 0.000 0.679 0.179
Y: 0.000 0.321 0.821
Y: 0.000 0.179 0.321
Y: 0.000 0.821 0.679
Mg: 0.500 0.203 0.069
Mg: 0.500 0.797 0.931
Mg: 0.500 0.069 0.797
Mg: 0.500 0.703 0.431
Mg: 0.500 0.931 0.203
Mg: 0.500 0.297 0.569
Mg: 0.500 0.569 0.703
Mg: 0.500 0.431 0.297
Mg: 0.500 0.500 0.000
Mg: 0.500 0.000 0.500
Sc: 0.000 0.116 0.616
Sc: 0.000 0.884 0.384
Sc: 0.000 0.616 0.884
Sc: 0.000 0.384 0.116

Properties
The formation energy is 0.027 eV per atom. The total magnetization is 0.00 μB/cell. The value obtained for the density of states at the Fermi level is 0.816 states/eV/atom.

***

Record 3
VASP calculation (PBE) on Ba2HgMo after structural relaxation.

Lattice parameters (Å, degrees): 10.539 10.539 10.539 21.71 21.71 21.71
Site moments in Bohr magnetons follow the coordinates.
Atoms (fractional coordinates):
Ba: 0.006 0.006 0.006  -0.04
Ba: 0.494 0.494 0.494  -0.04
Hg: 0.250 0.250 0.250  -0.04
Mo: 0.750 0.750 0.750  2.22

Properties
The formation energy is 0.740 eV per atom. The total magnetization is 2.14 μB/cell. The value obtained for the density of states at the Fermi level is 1.083 states/eV/atom.

***

Record 4
VASP calculation (PBE) on VP2Cl after structural relaxation.

Lattice parameters (Å, degrees): 4.410 4.410 4.410 60.00 60.00 60.00
Atoms (fractional coordinates):
P: 0.250 0.250 0.250
P: 0.750 0.750 0.750
V: 0.500 0.500 0.500
Cl: 0.000 0.000 0.000

Properties
For the relative energy among the computed polymorphs, the calculation gives 146 kJ/mol of formula units. Its uncorrected formation energy is 0.6921 eV/atom. The total magnetization is 0.00 μB/cell. The value obtained for the density of states at the Fermi level is 1.018 states/eV/atom.